1.
Crystalline Mn2GeIr at its relaxed geometry. Source: the Alexandria database, functional GGA-PBE.

Structure (CIF):
```
data_Mn2GeIr
_chemical_formula_sum 'Mn8 Ge4 Ir4'
_space_group_name_H-M_alt 'I -4 2 d'
_space_group_IT_number 122
_space_group_name_Hall 'I -4 2bw'
_cell_length_a 3.7081
_cell_length_b 3.7081
_cell_length_c 17.6490
_cell_angle_alpha 90.00
_cell_angle_beta 90.00
_cell_angle_gamma 90.00
loop_
_atom_site_label
_atom_site_fract_x
_atom_site_fract_y
_atom_site_fract_z
Mn1 0.2429 0.2500 0.1250
Ge1 0.0000 0.0000 0.0000
Ir1 0.0000 0.0000 0.5000
```

Results
- crystal system = tetragonal
- energy (eV per atom) = -7.61
- energy of formation from the pure elements (meV/atom) = 342

***

2.
Crystalline MnGe4Ir at its relaxed geometry. Source: the Alexandria database, functional GGA-PBE.

Structure (CIF):
```
data_MnGe4Ir
_chemical_formula_sum 'Mn2 Ge8 Ir2'
_space_group_name_H-M_alt 'P 2 2 2'
_space_group_IT_number 16
_cell_length_a 5.5363
_cell_length_b 5.8828
_cell_length_c 6.0311
_cell_angle_alpha 90.00
_cell_angle_beta 90.00
_cell_angle_gamma 90.00
loop_
_space_group_symop_operation_xyz
'x,y,z'
'-x,-y,z'
'x,-y,-z'
'-x,y,-z'
loop_
_atom_site_label
_atom_site_fract_x
_atom_site_fract_y
_atom_site_fract_z
Mn1 0.0000 0.0000 0.0000
Mn2 0.5000 0.0000 0.5000
Ge1 0.1721 0.2104 0.3439
Ge2 0.2749 0.3382 0.8440
Ir1 0.5000 0.0000 0.0000
Ir2 0.5000 0.5000 0.5000
```

Results
- crystal system = orthorhombic
- energy (eV per atom) = -6.04
- energy of formation from the pure elements (meV/atom) = 39

***

3.
Crystalline MnGeIr at its relaxed geometry. Source: the Alexandria database, functional GGA-PBE.

Structure (CIF):
```
data_MnGeIr
_chemical_formula_sum 'Mn4 Ge4 Ir4'
_space_group_name_H-M_alt 'P n m a'
_space_group_IT_number 62
_cell_length_a 5.3399
_cell_length_b 4.1077
_cell_length_c 7.8018
_cell_angle_alpha 90.00
_cell_angle_beta 90.00
_cell_angle_gamma 90.00
loop_
_space_group_symop_operation_xyz
'x,y,z'
'-x,-y,-z'
'-x+1/2,-y,z+1/2'
'x+1/2,y,-z+1/2'
'x+1/2,-y+1/2,-z+1/2'
'-x+1/2,y+1/2,z+1/2'
'-x,y+1/2,-z'
'x,-y+1/2,z'
loop_
_atom_site_label
_atom_site_fract_x
_atom_site_fract_y
_atom_site_fract_z
Mn1 0.0477 0.2500 0.2317
Ge1 0.2013 0.2500 0.8925
Ir1 0.1989 0.2500 0.5650
```

Results
- crystal system = orthorhombic
- energy (eV per atom) = -7.76
- energy of formation from the pure elements (meV/atom) = -211

***

4.
Crystalline MnGe3Ir at its relaxed geometry. Source: the Alexandria database, functional GGA-PBE.

Structure (CIF):
```
data_MnGe3Ir
_chemical_formula_sum 'Mn1 Ge3 Ir1'
_space_group_name_H-M_alt 'P m -3 m'
_space_group_IT_number 221
_space_group_name_Hall '-P 4 2 3'
_cell_length_a 4.8163
_cell_length_b 4.8163
_cell_length_c 4.8163
_cell_angle_alpha 90.00
_cell_angle_beta 90.00
_cell_angle_gamma 90.00
loop_
_atom_site_label
_atom_site_fract_x
_atom_site_fract_y
_atom_site_fract_z
Mn1 0.0000 0.0000 0.0000
Ge1 0.0000 0.5000 0.5000
Ir1 0.5000 0.5000 0.5000
```

Results
- crystal system = cubic
- energy (eV per atom) = -5.76
- energy of formation from the pure elements (meV/atom) = 615
- ΔE to the lowest computed polymorph (meV/atom) = 0.0

***

5.
Crystalline Mn2GeIr at its relaxed geometry. Source: the Alexandria database, functional GGA-PBE.

Structure (CIF):
```
data_Mn2GeIr
_chemical_formula_sum 'Mn2 Ge1 Ir1'
_space_group_name_H-M_alt 'P 4/m m m'
_space_group_IT_number 123
_space_group_name_Hall '-P 4 2'
_cell_length_a 3.7360
_cell_length_b 3.7360
_cell_length_c 3.8510
_cell_angle_alpha 90.00
_cell_angle_beta 90.00
_cell_angle_gamma 90.00
loop_
_atom_site_label
_atom_site_fract_x
_atom_site_fract_y
_atom_site_fract_z
Mn1 0.0000 0.5000 0.0000
Ge1 0.0000 0.0000 0.5000
Ir1 0.5000 0.5000 0.5000
```

Results
- crystal system = tetragonal
- energy (eV per atom) = -8.11
- energy of formation from the pure elements (meV/atom) = -155

***

6.
Crystalline NdMnGe2Ir at its relaxed geometry. Source: the Alexandria database, functional GGA-PBE.

Structure (CIF):
```
data_NdMnGe2Ir
_chemical_formula_sum 'Nd2 Mn2 Ge4 Ir2'
_space_group_name_H-M_alt 'I -4 m 2'
_space_group_IT_number 119
_space_group_name_Hall 'I -4 -2'
_cell_length_a 4.1206
_cell_length_b 4.1206
_cell_length_c 10.7807
_cell_angle_alpha 90.00
_cell_angle_beta 90.00
_cell_angle_gamma 90.00
loop_
_atom_site_label
_atom_site_fract_x
_atom_site_fract_y
_atom_site_fract_z
Nd1 0.0000 0.0000 0.0000
Mn1 0.0000 0.5000 0.7500
Ge1 0.0000 0.0000 0.3806
Ir1 0.0000 0.5000 0.2500
```

Results
- crystal system = tetragonal
- energy (eV per atom) = -7.04
- energy of formation from the pure elements (meV/atom) = -631

***

7.
Crystalline Nd2MnGe4Ir3 at its relaxed geometry. Source: the Alexandria database, functional GGA-PBE.

Structure (CIF):
```
data_Nd2MnGe4Ir3
_chemical_formula_sum 'Nd2 Mn1 Ge4 Ir3'
_space_group_name_H-M_alt 'P -4 m 2'
_space_group_IT_number 115
_cell_length_a 4.2452
_cell_length_b 4.2452
_cell_length_c 10.3737
_cell_angle_alpha 90.00
_cell_angle_beta 90.00
_cell_angle_gamma 90.00
loop_
_space_group_symop_operation_xyz
'x,y,z'
'y,-x,-z'
'-x,-y,z'
'-y,x,-z'
'-x,y,z'
'-y,-x,-z'
'x,-y,z'
'y,x,-z'
loop_
_atom_site_label
_atom_site_fract_x
_atom_site_fract_y
_atom_site_fract_z
Nd1 0.0000 0.5000 0.2451
Mn1 0.0000 0.0000 0.5000
Ge1 0.0000 0.0000 0.0000
Ge2 0.0000 0.5000 0.6347
Ge3 0.5000 0.5000 0.0000
Ir1 0.0000 0.5000 0.8737
Ir2 0.5000 0.5000 0.5000
```

Results
- crystal system = tetragonal
- energy (eV per atom) = -7.05
- energy of formation from the pure elements (meV/atom) = -673

***

8.
Crystalline Nd2MnGe3Ir4 at its relaxed geometry. Source: the Alexandria database, functional GGA-PBE.

Structure (CIF):
```
data_Nd2MnGe3Ir4
_chemical_formula_sum 'Nd2 Mn1 Ge3 Ir4'
_space_group_name_H-M_alt 'P -4 m 2'
_space_group_IT_number 115
_cell_length_a 4.1918
_cell_length_b 4.1918
_cell_length_c 10.5507
_cell_angle_alpha 90.00
_cell_angle_beta 90.00
_cell_angle_gamma 90.00
loop_
_space_group_symop_operation_xyz
'x,y,z'
'y,-x,-z'
'-x,-y,z'
'-y,x,-z'
'-x,y,z'
'-y,-x,-z'
'x,-y,z'
'y,x,-z'
loop_
_atom_site_label
_atom_site_fract_x
_atom_site_fract_y
_atom_site_fract_z
Nd1 0.0000 0.5000 0.2490
Mn1 0.0000 0.0000 0.5000
Ge1 0.0000 0.5000 0.8705
Ge2 0.5000 0.5000 0.5000
Ir1 0.0000 0.0000 0.0000
Ir2 0.0000 0.5000 0.6361
Ir3 0.5000 0.5000 0.0000
```

Results
- crystal system = tetragonal
- energy (eV per atom) = -7.49
- energy of formation from the pure elements (meV/atom) = -689

***

9.
Crystalline Np2MnGe3Ir4 at its relaxed geometry. Source: the Alexandria database, functional GGA-PBE.

Structure (CIF):
```
data_Np2MnGe3Ir4
_chemical_formula_sum 'Np2 Mn1 Ge3 Ir4'
_space_group_name_H-M_alt 'P -4 m 2'
_space_group_IT_number 115
_cell_length_a 4.0933
_cell_length_b 4.0933
_cell_length_c 10.7332
_cell_angle_alpha 90.00
_cell_angle_beta 90.00
_cell_angle_gamma 90.00
loop_
_space_group_symop_operation_xyz
'x,y,z'
'y,-x,-z'
'-x,-y,z'
'-y,x,-z'
'-x,y,z'
'-y,-x,-z'
'x,-y,z'
'y,x,-z'
loop_
_atom_site_label
_atom_site_fract_x
_atom_site_fract_y
_atom_site_fract_z
Np1 0.0000 0.5000 0.2467
Mn1 0.5000 0.5000 0.0000
Ge1 0.0000 0.0000 0.0000
Ge2 0.0000 0.5000 0.6297
Ir1 0.0000 0.0000 0.5000
Ir2 0.0000 0.5000 0.8566
Ir3 0.5000 0.5000 0.5000
```

Results
- crystal system = tetragonal
- energy (eV per atom) = -8.80
- energy of formation from the pure elements (meV/atom) = -368